First-principles (GGA-PBE) data for an optimized crystal structure of Pm6Ge2P3S, as listed in Alexandria via LeMat-Bulk.

POSCAR file:
```
Pm6Ge2P3S
1.0
9.0842 -2.0563 0.0000
9.0842 2.0563 0.0000
-1.9683 0.0000 8.1685
Pm Ge P S
6 2 3 1
Direct
0.0015 0.0015 0.2474
0.3336 0.3336 0.4245
0.3362 0.3362 0.9088
0.6638 0.6638 0.0912
0.6664 0.6664 0.5755
0.9985 0.9985 0.7526
0.1663 0.1663 0.8329
0.8337 0.8337 0.1671
0.1650 0.1650 0.3349
0.5000 0.5000 0.0000
0.8350 0.8350 0.6651
0.5000 0.5000 0.5000
```

ΔE_f (raw)   -133.7 kJ per mole of atoms
Calculated total energy   -74.73 eV for the cell shown

***

First-principles (GGA-PBE) data for an optimized crystal structure of Pm6Ge2PSe3, as listed in Alexandria via LeMat-Bulk.

POSCAR file:
```
Pm6Ge2PSe3
1.0
9.2178 -2.1085 0.0000
9.2178 2.1085 0.0000
-1.9900 0.0000 8.2327
Pm Ge P Se
6 2 1 3
Direct
0.0028 0.0028 0.2395
0.3316 0.3316 0.4226
0.3374 0.3374 0.9118
0.6626 0.6626 0.0882
0.6684 0.6684 0.5774
0.9972 0.9972 0.7605
0.1660 0.1660 0.3318
0.8340 0.8340 0.6682
0.5000 0.5000 0.0000
0.1663 0.1663 0.8339
0.5000 0.5000 0.5000
0.8337 0.8337 0.1661
```

ΔE_f (raw)   -148.8 kJ per mole of atoms
Calculated total energy   -72.11 eV for the cell shown

***

First-principles (GGA-PBE) data for an optimized crystal structure of Pm6GeP2Se3, as listed in Alexandria via LeMat-Bulk.

POSCAR file:
```
Pm6GeP2Se3
1.0
9.1779 -2.0920 0.0000
9.1779 2.0920 0.0000
-2.0378 0.0000 8.1762
Pm Ge P Se
6 1 2 3
Direct
0.0039 0.0039 0.2449
0.3289 0.3289 0.4272
0.3358 0.3358 0.9057
0.6642 0.6642 0.0943
0.6711 0.6711 0.5728
0.9961 0.9961 0.7551
0.5000 0.5000 0.0000
0.1675 0.1675 0.3348
0.8325 0.8325 0.6652
0.1667 0.1667 0.8322
0.5000 0.5000 0.5000
0.8333 0.8333 0.1678
```

ΔE_f (raw)   -160.7 kJ per mole of atoms
Calculated total energy   -74.38 eV for the cell shown

***

First-principles (GGA-PBE) data for an optimized crystal structure of PmTc2Ge2P, as listed in Alexandria via LeMat-Bulk.

POSCAR file:
```
PmTc2Ge2P
1.0
4.4650 0.0000 0.0000
0.0000 4.4650 0.0000
0.0000 0.0000 5.5991
Pm Tc Ge P
1 2 2 1
Direct
0.0000 0.0000 0.0000
0.0000 0.5000 0.5000
0.5000 0.0000 0.5000
0.5000 0.5000 0.2238
0.5000 0.5000 0.7762
0.0000 0.0000 0.5000
```

E_form   -0.381 eV per atom
Calculated total energy   -42.41 eV for the cell shown

***

First-principles (GGA-PBE) data for an optimized crystal structure of Pm8GeTe4P3, as listed in Alexandria via LeMat-Bulk.

POSCAR file:
```
Pm8GeTe4P3
1.0
4.2625 2.4609 7.2556
-4.2625 2.4609 7.2556
0.0000 -4.9219 7.2556
Pm Ge Te P
8 1 4 3
Direct
0.2364 0.7404 0.7404
0.2377 0.2377 0.2377
0.2596 0.2596 0.7636
0.2596 0.7636 0.2596
0.7404 0.2364 0.7404
0.7404 0.7404 0.2364
0.7623 0.7623 0.7623
0.7636 0.2596 0.2596
0.5000 0.5000 0.5000
0.0000 0.0000 0.0000
0.0000 0.5000 0.5000
0.5000 0.0000 0.5000
0.5000 0.5000 0.0000
0.0000 0.0000 0.5000
0.0000 0.5000 0.0000
0.5000 0.0000 0.0000
```

ΔE_f (raw)   -144.2 kJ per mole of atoms
Calculated total energy   -95.33 eV for the cell shown

***

First-principles (GGA-PBE) data for an optimized crystal structure of PmThGeP, as listed in Alexandria via LeMat-Bulk.

POSCAR file:
```
PmThGeP
1.0
2.1061 1.2160 6.8847
-2.1061 1.2160 6.8847
0.0000 -2.4319 6.8847
Pm Th Ge P
1 1 1 1
Direct
0.0000 0.0000 0.0000
0.4957 0.4957 0.4957
0.2478 0.2478 0.2478
0.7490 0.7490 0.7490
```

E_form   -1.161 eV per atom
Calculated total energy   -26.84 eV for the cell shown

***

> Among the records above, which one has the lowest calculated total energy?

Pm8GeTe4P3

***

Please write out number 5 again, unchanged.
First-principles (GGA-PBE) data for an optimized crystal structure of Pm8GeTe4P3, as listed in Alexandria via LeMat-Bulk.

POSCAR file:
```
Pm8GeTe4P3
1.0
4.2625 2.4609 7.2556
-4.2625 2.4609 7.2556
0.0000 -4.9219 7.2556
Pm Ge Te P
8 1 4 3
Direct
0.2364 0.7404 0.7404
0.2377 0.2377 0.2377
0.2596 0.2596 0.7636
0.2596 0.7636 0.2596
0.7404 0.2364 0.7404
0.7404 0.7404 0.2364
0.7623 0.7623 0.7623
0.7636 0.2596 0.2596
0.5000 0.5000 0.5000
0.0000 0.0000 0.0000
0.0000 0.5000 0.5000
0.5000 0.0000 0.5000
0.5000 0.5000 0.0000
0.0000 0.0000 0.5000
0.0000 0.5000 0.0000
0.5000 0.0000 0.0000
```

ΔE_f (raw)   -144.2 kJ per mole of atoms
Calculated total energy   -95.33 eV for the cell shown

***

> What is the calculated total energy in the sixth record?

-26.84 eV for the cell shown

***

> What is the calculated total energy in the first record?

-74.73 eV for the cell shown